NaHoNO | the Open Quantum Materials Database | PBE | optimized geometry; total moment = 1.00 μB/f.u.; electronic total energy = -6.1853 eV per atom
1.0
3.426 0.000 0.000
0.000 3.426 0.000
0.000 0.000 4.574
Na Ho N O
1 1 1 1
Direct
0.000 0.000 0.000
0.500 0.500 0.500
0.000 0.000 0.500
0.500 0.500 0.000

RbScRe | the Open Quantum Materials Database | PBE | optimized geometry; total moment = 2.44 μB/f.u.; electronic total energy = -4.0145 eV per atom
1.0
0.000 3.465 3.465
3.465 0.000 3.465
3.465 3.465 0.000
Rb Sc Re
1 1 1
Direct
0.000 0.000 0.000
0.250 0.250 0.250
0.750 0.750 0.750

NaLaRe | the Open Quantum Materials Database | PBE | optimized geometry; total moment = 1.00 μB/f.u.; electronic total energy = -4.7438 eV per atom
1.0
0.000 3.384 3.384
3.384 0.000 3.384
3.384 3.384 0.000
Na La Re
1 1 1
Direct
0.000 0.000 0.000
0.250 0.250 0.250
0.500 0.500 0.500

PdF | the Open Quantum Materials Database | PBE | optimized geometry; electronic total energy = -3.7910 eV per atom
1.0
0.000 2.372 2.372
2.372 0.000 2.372
2.372 2.372 0.000
Pd F
1 1
Direct
0.000 0.000 0.000
0.500 0.500 0.500

LuInNiOs | the Open Quantum Materials Database | PBE | optimized geometry; total moment = 0.01 μB/f.u.; electronic total energy = -5.7614 eV per atom
1.0
0.000 3.284 3.284
3.284 0.000 3.284
3.284 3.284 0.000
Lu In Ni Os
1 1 1 1
Direct
0.000 0.000 0.000
0.250 0.250 0.250
0.500 0.500 0.500
0.750 0.750 0.750

Nd2Dy2BIBr4 | the Open Quantum Materials Database | PBE | optimized geometry; total moment = 0.01 μB/f.u.; electronic total energy = -4.7086 eV per atom
1.0
9.087 -2.016 0.000
9.087 2.016 0.000
-2.008 0.000 8.695
Nd Dy B I Br
2 2 1 1 4
Direct
0.001 0.001 0.299
0.999 0.999 0.701
0.358 0.358 0.430
0.642 0.642 0.570
0.500 0.500 0.500
0.500 0.500 0.000
0.170 0.170 0.807
0.174 0.174 0.355
0.826 0.826 0.645
0.830 0.830 0.193

Lu2CoPb | the Open Quantum Materials Database | PBE | optimized geometry; total moment = 0.97 μB/f.u.; electronic total energy = -4.8172 eV per atom
1.0
0.000 3.486 3.486
3.486 0.000 3.486
3.486 3.486 0.000
Lu Co Pb
2 1 1
Direct
0.000 0.000 0.000
0.250 0.250 0.250
0.750 0.750 0.750
0.500 0.500 0.500

Hf3ZrBi2As2 | the Open Quantum Materials Database | PBE | optimized geometry; total moment = 0.00 μB/f.u.; electronic total energy = -7.6464 eV per atom
1.0
3.954 0.000 0.000
-1.977 3.424 0.000
0.000 0.000 13.496
Hf Zr Bi As
3 1 2 2
Direct
0.000 0.000 0.000
0.000 0.000 0.293
0.333 0.667 0.498
0.333 0.667 0.793
0.000 0.000 0.644
0.333 0.667 0.147
0.667 0.333 0.396
0.667 0.333 0.899